VASP calculation (PBE+U) on a relaxed structure of NbVO2.

For the density of states at the Fermi level, the calculation gives 0.7853 states/eV/atom. The value obtained for the spin magnetization is 7.92 Bohr magnetons per cell. The polymorph energy (0 for the lowest one) comes out at 0.748 eV per atom.

The structure belongs to space group Fm-3m (No. 225); the cell edges are 5.4986, 5.4986 and 5.4986 Å and the angles 90.00°, 90.00° and 90.00°. Symmetry generates all atoms from Nb at (0.0000, 0.0000, 0.0000), V at (0.0000, 0.0000, 0.5000) and O at (0.2500, 0.2500, 0.2500).